# PBE BaMg2ZnIn, relaxed
data_BaMg2ZnIn
_cell_length_a 5.237
_cell_length_b 5.237
_cell_length_c 5.356
_cell_angle_alpha 90.00
_cell_angle_beta 90.00
_cell_angle_gamma 90.00
_symmetry_space_group_name_H-M 'P 1'
_symmetry_Int_Tables_number 1
loop_
_symmetry_equiv_pos_as_xyz
'x,y,z'
loop_
_atom_site_label
_atom_site_type_symbol
_atom_site_fract_x
_atom_site_fract_y
_atom_site_fract_z
Mg1 Mg 0.000 0.500 0.000
Mg2 Mg 0.500 0.000 0.000
Zn1 Zn 0.000 0.000 0.000
Ba1 Ba 0.500 0.500 0.500
In1 In 0.000 0.000 0.500
# - Crystal system: tetragonal
# - M_tot: 0.00 μB/f.u.
# - ΔE_f: -43.1 meV/atom
# - Calculated volume: 29.38 A^3/atom
# - SG: P4/mmm, No. 123
# - Final energy: -1.868 eV per atom



# PBE Ba2MgZn4In3, relaxed
data_Ba2MgZn4In3
_cell_length_a 4.718
_cell_length_b 4.718
_cell_length_c 11.809
_cell_angle_alpha 90.00
_cell_angle_beta 90.00
_cell_angle_gamma 90.00
_symmetry_space_group_name_H-M 'P 1'
_symmetry_Int_Tables_number 1
loop_
_symmetry_equiv_pos_as_xyz
'x,y,z'
loop_
_atom_site_label
_atom_site_type_symbol
_atom_site_fract_x
_atom_site_fract_y
_atom_site_fract_z
Ba1 Ba 0.500 0.000 0.243
Ba2 Ba 0.000 0.500 0.757
Mg1 Mg 0.500 0.500 0.500
Zn1 Zn 0.500 0.500 0.000
Zn2 Zn 0.000 0.000 0.000
Zn3 Zn 0.500 0.000 0.635
Zn4 Zn 0.000 0.500 0.365
In1 In 0.000 0.000 0.500
In2 In 0.500 0.000 0.873
In3 In 0.000 0.500 0.127
# - Crystal system: tetragonal
# - M_tot: 0.00 μB/f.u.
# - ΔE_f: -267.0 meV/atom
# - Calculated volume: 26.28 A^3/atom
# - SG: P-4m2, No. 115
# - Final energy: -2.142 eV per atom



# PBE Ba2Mg4Zn3In, relaxed
data_Ba2Mg4Zn3In
_cell_length_a 4.690
_cell_length_b 4.690
_cell_length_c 12.539
_cell_angle_alpha 90.00
_cell_angle_beta 90.00
_cell_angle_gamma 90.00
_symmetry_space_group_name_H-M 'P 1'
_symmetry_Int_Tables_number 1
loop_
_symmetry_equiv_pos_as_xyz
'x,y,z'
loop_
_atom_site_label
_atom_site_type_symbol
_atom_site_fract_x
_atom_site_fract_y
_atom_site_fract_z
Ba1 Ba 0.500 0.000 0.250
Ba2 Ba 0.000 0.500 0.750
Mg1 Mg 0.500 0.500 0.000
Mg2 Mg 0.000 0.000 0.000
Mg3 Mg 0.500 0.000 0.635
Mg4 Mg 0.000 0.500 0.365
Zn1 Zn 0.000 0.000 0.500
Zn2 Zn 0.500 0.000 0.864
Zn3 Zn 0.000 0.500 0.136
In1 In 0.500 0.500 0.500
# - Crystal system: tetragonal
# - M_tot: 0.00 μB/f.u.
# - ΔE_f: -148.0 meV/atom
# - Calculated volume: 27.58 A^3/atom
# - SG: P-4m2, No. 115
# - Final energy: -1.826 eV per atom



Which formula does entry 3 have?
Ba2Mg4Zn3In



Number 1 is which compound?
BaMg2ZnIn



Which value of M_tot does entry 1 give?
0.00 μB/f.u.